No. 1
The following is a PBE calculation of La12CuAg6 after structural relaxation, from the Alexandria database.

**Total magnetic moment**: 0.00 μB per cell
**Calculated density**: 7.2 Mg/m³
**Volume**: 549.83 Å³/f.u.
**Uncorrected energy**: -4.29 eV/atom
**Energy of formation from the pure elements**: -0.063 eV/atom

Lattice parameters (Å, degrees): 8.1926 8.1926 8.1926 89.56 89.56 89.56
Fractional positions:
La 0.5475 0.4448 0.8143
La 0.1857 0.4525 0.5552
La 0.5552 0.1857 0.4525
La 0.1371 0.3671 0.0167
Cu 0.0000 0.0000 0.0000
Ag 0.2509 0.7399 0.8913
La 0.8629 0.6329 0.9833
La 0.4448 0.8143 0.5475
La 0.9833 0.8629 0.6329
La 0.0167 0.1371 0.3671
La 0.8143 0.5475 0.4448
Ag 0.7399 0.8913 0.2509
Ag 0.2601 0.1087 0.7491
Ag 0.8913 0.2509 0.7399
Ag 0.7491 0.2601 0.1087
La 0.3671 0.0167 0.1371
La 0.4525 0.5552 0.1857
La 0.6329 0.9833 0.8629
Ag 0.1087 0.7491 0.2601

***

No. 2
The following is a PBE calculation of CdIn2GaH after structural relaxation, from the Alexandria database.

**Total magnetic moment**: 0.00 μB per cell
**Calculated density**: 6.8 Mg/m³
**Volume**: 100.95 Å³/f.u.
**Uncorrected energy**: -2.34 eV/atom
**Relative energy among the computed polymorphs**: 0.25 eV per formula unit

Lattice parameters (Å, degrees): 4.7376 4.7376 4.4975 90.00 90.00 90.00
Fractional positions:
Ga 0.0000 0.0000 0.5000
In 0.0000 0.5000 0.0000
Cd 0.5000 0.5000 0.5000
In 0.5000 0.0000 0.0000
H 0.0000 0.0000 0.0000

***

No. 3
The following is a PBE calculation of In2BRh6 after structural relaxation, from the Alexandria database.

**Total magnetic moment**: 0.00 μB per cell
**Calculated density**: 10.3 Mg/m³
**Volume**: 137.66 Å³/f.u.
**Uncorrected energy**: -6.29 eV/atom
**Energy of formation from the pure elements**: -0.037 eV/atom

Lattice parameters (Å, degrees): 4.5022 5.6777 6.0880 117.80 90.01 90.00
Fractional positions:
Rh 0.5000 0.7567 0.0000
Rh 0.0001 0.8699 0.2630
Rh 0.9999 0.6068 0.7368
Rh 0.0001 0.3932 0.2632
Rh 0.9999 0.1301 0.7370
In 0.5001 0.7487 0.4974
B 0.0000 0.0000 0.0000
Rh 0.5000 0.2433 0.0000
In 0.4999 0.2513 0.5026

***

No. 4
The following is a PBE calculation of ZrFe2Re after structural relaxation, from the Alexandria database.

**Total magnetic moment**: 6.70 μB per cell
**Calculated density**: 10.1 Mg/m³
**Volume**: 63.79 Å³/f.u.
**Uncorrected energy**: -9.00 eV/atom
**Energy of formation from the pure elements**: 0.482 eV/atom

Lattice parameters (Å, degrees): 6.9051 6.9051 5.5676 51.68 51.68 90.00
Each line ends with the local moment (μB).
Fractional positions:
Re 0.7500 0.2500 0.5000  -0.04
Zr 0.5000 0.5000 0.0000  -0.10
Fe 0.3750 0.3434 0.7500  1.73
Re 0.0000 0.0000 0.0000  -0.04
Fe 0.8750 0.9066 0.7500  1.73
Fe 0.0934 0.6250 0.2500  1.73
Fe 0.6566 0.1250 0.2500  1.73
Zr 0.2500 0.7500 0.5000  -0.10